Record 1
## Ge2BF (PBE)

Data for an optimized crystal structure of Ge2BF.

Values from the calculation:
raw formation energy: -32.2 kJ/mol of formula units
M_tot: 0.000 μB/f.u.
total energy: -4.5293 eV/atom
relative energy among the computed polymorphs: 0 meV per atom

CIF file:
```
data_Ge2BF
_chemical_formula_sum 'Ge4 B2 F2'
_symmetry_space_group_name_H-M 'P 1'
_symmetry_Int_Tables_number 1
_cell_length_a 6.176
_cell_length_b 6.176
_cell_length_c 6.176
_cell_angle_alpha 130.99
_cell_angle_beta 130.99
_cell_angle_gamma 71.84
loop_
_symmetry_equiv_pos_as_xyz
'x,y,z'
loop_
_atom_site_label
_atom_site_type_symbol
_atom_site_fract_x
_atom_site_fract_y
_atom_site_fract_z
_atom_site_occupancy
Ge1 Ge 0.080 0.625 0.955 1
Ge2 Ge 0.375 0.330 0.455 1
Ge3 Ge 0.670 0.125 0.045 1
Ge4 Ge 0.875 0.920 0.545 1
B1 B 0.000 0.000 0.000 1
B2 B 0.750 0.250 0.500 1
F1 F 0.250 0.750 0.500 1
F2 F 0.500 0.500 0.000 1
```



Record 2
## CsHgGeSe4 (PBE)

Data for an optimized crystal structure of CsHgGeSe4.

Values from the calculation:
raw formation energy: -288.3 kJ/mol of formula units
M_tot: 0.000 μB/f.u.
total energy: -3.2426 eV/atom

CIF file:
```
data_CsHgGeSe4
_chemical_formula_sum 'Cs2 Hg2 Ge2 Se8'
_symmetry_space_group_name_H-M 'P 1'
_symmetry_Int_Tables_number 1
_cell_length_a 6.998
_cell_length_b 6.668
_cell_length_c 10.851
_cell_angle_alpha 90.00
_cell_angle_beta 105.23
_cell_angle_gamma 90.00
loop_
_symmetry_equiv_pos_as_xyz
'x,y,z'
loop_
_atom_site_label
_atom_site_type_symbol
_atom_site_fract_x
_atom_site_fract_y
_atom_site_fract_z
_atom_site_occupancy
Cs1 Cs 0.216 0.250 0.034 1
Cs2 Cs 0.784 0.750 0.966 1
Hg1 Hg 0.253 0.250 0.651 1
Hg2 Hg 0.747 0.750 0.349 1
Ge1 Ge 0.231 0.750 0.305 1
Ge2 Ge 0.769 0.250 0.695 1
Se1 Se 0.003 0.021 0.296 1
Se2 Se 0.003 0.479 0.296 1
Se3 Se 0.387 0.750 0.137 1
Se4 Se 0.494 0.250 0.501 1
Se5 Se 0.506 0.750 0.499 1
Se6 Se 0.613 0.250 0.863 1
Se7 Se 0.997 0.521 0.704 1
Se8 Se 0.997 0.979 0.704 1
```



Record 3
## PdSe2I (PBE)

Data for an optimized crystal structure of PdSe2I.

Values from the calculation:
raw formation energy: 8.8 kJ/mol of formula units
M_tot: 0.000 μB/f.u.
total energy: -3.4051 eV/atom
relative energy among the computed polymorphs: 210 meV per atom

CIF file:
```
data_PdSe2I
_chemical_formula_sum 'Pd2 Se4 I2'
_symmetry_space_group_name_H-M 'P 1'
_symmetry_Int_Tables_number 1
_cell_length_a 13.698
_cell_length_b 13.698
_cell_length_c 3.948
_cell_angle_alpha 90.00
_cell_angle_beta 90.00
_cell_angle_gamma 163.46
loop_
_symmetry_equiv_pos_as_xyz
'x,y,z'
loop_
_atom_site_label
_atom_site_type_symbol
_atom_site_fract_x
_atom_site_fract_y
_atom_site_fract_z
_atom_site_occupancy
Pd1 Pd 0.195 0.805 0.750 1
Pd2 Pd 0.805 0.195 0.250 1
Se1 Se 0.290 0.710 0.750 1
Se2 Se 0.366 0.634 0.250 1
Se3 Se 0.634 0.366 0.750 1
Se4 Se 0.710 0.290 0.250 1
I1 I 0.448 0.552 0.750 1
I2 I 0.552 0.448 0.250 1
```



Record 4
## Tm2MgOs (PBE)

Data for an optimized crystal structure of Tm2MgOs.

Values from the calculation:
M_tot: 0.000 μB/f.u.
total energy: -5.3840 eV/atom
relative energy among the computed polymorphs: 317 meV per atom

CIF file:
```
data_Tm2MgOs
_chemical_formula_sum 'Tm2 Mg1 Os1'
_symmetry_space_group_name_H-M 'P 1'
_symmetry_Int_Tables_number 1
_cell_length_a 9.793
_cell_length_b 9.793
_cell_length_c 9.793
_cell_angle_alpha 20.03
_cell_angle_beta 20.03
_cell_angle_gamma 20.03
loop_
_symmetry_equiv_pos_as_xyz
'x,y,z'
loop_
_atom_site_label
_atom_site_type_symbol
_atom_site_fract_x
_atom_site_fract_y
_atom_site_fract_z
_atom_site_occupancy
Tm1 Tm 0.236 0.236 0.236 1
Tm2 Tm 0.764 0.764 0.764 1
Mg1 Mg 0.000 0.000 0.000 1
Os1 Os 0.500 0.500 0.500 1
```



Record 5
## GaPRuAu2S (PBE)

Data for an optimized crystal structure of GaPRuAu2S.

Values from the calculation:
raw formation energy: -84.7 kJ/mol of formula units
M_tot: 0.000 μB/f.u.
total energy: -4.8788 eV/atom
relative energy among the computed polymorphs: 0 meV per atom

CIF file:
```
data_GaPRuAu2S
_chemical_formula_sum 'Ga1 P1 Ru1 Au2 S1'
_symmetry_space_group_name_H-M 'P 1'
_symmetry_Int_Tables_number 1
_cell_length_a 5.027
_cell_length_b 5.027
_cell_length_c 8.316
_cell_angle_alpha 118.59
_cell_angle_beta 118.59
_cell_angle_gamma 40.05
loop_
_symmetry_equiv_pos_as_xyz
'x,y,z'
loop_
_atom_site_label
_atom_site_type_symbol
_atom_site_fract_x
_atom_site_fract_y
_atom_site_fract_z
_atom_site_occupancy
Ga1 Ga 0.000 0.000 0.000 1
P1 P 0.792 0.792 0.430 1
Ru1 Ru 0.295 0.295 0.253 1
Au1 Au 0.039 0.039 0.714 1
Au2 Au 0.077 0.077 0.391 1
S1 S 0.318 0.318 0.979 1
```



Record 6
## Tb2PmNd2 (PBE)

Data for an optimized crystal structure of Tb2PmNd2.

Values from the calculation:
M_tot: 0.000 μB/f.u.
total energy: -4.6538 eV/atom
relative energy among the computed polymorphs: 0 meV per atom

CIF file:
```
data_Tb2PmNd2
_chemical_formula_sum 'Tb4 Pm2 Nd4'
_symmetry_space_group_name_H-M 'P 1'
_symmetry_Int_Tables_number 1
_cell_length_a 8.989
_cell_length_b 8.989
_cell_length_c 7.124
_cell_angle_alpha 90.00
_cell_angle_beta 90.00
_cell_angle_gamma 144.04
loop_
_symmetry_equiv_pos_as_xyz
'x,y,z'
loop_
_atom_site_label
_atom_site_type_symbol
_atom_site_fract_x
_atom_site_fract_y
_atom_site_fract_z
_atom_site_occupancy
Tb1 Tb 0.000 0.000 0.000 1
Tb2 Tb 0.000 0.000 0.500 1
Tb3 Tb 0.198 0.802 0.501 1
Tb4 Tb 0.802 0.198 0.001 1
Pm1 Pm 0.393 0.607 0.752 1
Pm2 Pm 0.607 0.393 0.252 1
Nd1 Nd 0.199 0.801 0.000 1
Nd2 Nd 0.394 0.606 0.248 1
Nd3 Nd 0.606 0.394 0.748 1
Nd4 Nd 0.801 0.199 0.500 1
```



Record 7
## ErGa5Pt7 (PBE)

Data for an optimized crystal structure of ErGa5Pt7.

Values from the calculation:
M_tot: 0.000 μB/f.u.
total energy: -5.4100 eV/atom

CIF file:
```
data_ErGa5Pt7
_chemical_formula_sum 'Er1 Ga5 Pt7'
_symmetry_space_group_name_H-M 'P 1'
_symmetry_Int_Tables_number 1
_cell_length_a 6.842
_cell_length_b 6.842
_cell_length_c 6.842
_cell_angle_alpha 133.67
_cell_angle_beta 97.26
_cell_angle_gamma 100.56
loop_
_symmetry_equiv_pos_as_xyz
'x,y,z'
loop_
_atom_site_label
_atom_site_type_symbol
_atom_site_fract_x
_atom_site_fract_y
_atom_site_fract_z
_atom_site_occupancy
Er1 Er 0.000 0.000 0.000 1
Ga1 Ga 0.478 0.491 0.496 1
Ga2 Ga 0.478 0.982 0.987 1
Ga3 Ga 0.765 0.265 0.500 1
Ga4 Ga 0.995 0.491 0.013 1
Ga5 Ga 0.995 0.982 0.504 1
Pt1 Pt 0.178 0.474 0.704 1
Pt2 Pt 0.219 0.719 0.500 1
Pt3 Pt 0.337 0.337 0.000 1
Pt4 Pt 0.341 0.005 0.337 1
Pt5 Pt 0.668 0.005 0.663 1
Pt6 Pt 0.671 0.671 0.000 1
Pt7 Pt 0.770 0.474 0.296 1
```



Record 8
## LiTaP2 (PBE)

Data for an optimized crystal structure of LiTaP2.

Values from the calculation:
M_tot: 0.770 μB/f.u.
total energy: -5.8538 eV/atom
relative energy among the computed polymorphs: 860 meV per atom

CIF file:
```
data_LiTaP2
_chemical_formula_sum 'Li1 Ta1 P2'
_symmetry_space_group_name_H-M 'P 1'
_symmetry_Int_Tables_number 1
_cell_length_a 10.849
_cell_length_b 10.849
_cell_length_c 10.849
_cell_angle_alpha 14.95
_cell_angle_beta 14.95
_cell_angle_gamma 14.95
loop_
_symmetry_equiv_pos_as_xyz
'x,y,z'
loop_
_atom_site_label
_atom_site_type_symbol
_atom_site_fract_x
_atom_site_fract_y
_atom_site_fract_z
_atom_site_occupancy
Li1 Li 0.000 0.000 0.000 1
Ta1 Ta 0.749 0.749 0.749 1
P1 P 0.271 0.271 0.271 1
P2 P 0.480 0.480 0.480 1
```